(a)
{
  "formula": "ThCd4Pd2",
  "functional": "PBE",
  "state": "optimized geometry",
  "lattice_angstrom": [[8.8756, 0.0000, 0.0000], [0.0000, 8.8756, 0.0000], [0.0000, 0.0000, 3.9133]],
  "species": ["Th", "Th", "Cd", "Cd", "Cd", "Cd", "Cd", "Cd", "Cd", "Cd", "Pd", "Pd", "Pd", "Pd"],
  "frac_coords": [[0.0000, 0.0000, 0.0000], [0.5000, 0.5000, 0.5000], [0.0972, 0.3367, 0.5000], [0.1633, 0.5972, 0.0000], [0.3367, 0.0972, 0.5000], [0.4028, 0.8367, 0.0000], [0.5972, 0.1633, 0.0000], [0.6633, 0.9028, 0.5000], [0.8367, 0.4028, 0.0000], [0.9028, 0.6633, 0.5000], [0.1696, 0.8304, 0.5000], [0.3304, 0.3304, 0.0000], [0.6696, 0.6696, 0.0000], [0.8304, 0.1696, 0.5000]],
  "dos_ef_per_ev_atom": 0.44,
  "magnetic_moment_mub_per_cell": 0.00,
  "mass_density_g_cm3": 9.6
}

***

(b)
{
  "formula": "ThCd4Pd2",
  "functional": "PBE",
  "state": "optimized geometry",
  "lattice_angstrom": [[4.3540, 0.0000, 0.0000], [0.0000, 18.3968, 0.0000], [0.0000, 0.0000, 3.8159]],
  "species": ["Th", "Th", "Cd", "Cd", "Cd", "Cd", "Cd", "Cd", "Cd", "Cd", "Pd", "Pd", "Pd", "Pd"],
  "frac_coords": [[0.0000, 0.0000, 0.0000], [0.5000, 0.5000, 0.0000], [0.0000, 0.1687, 0.5000], [0.0000, 0.3108, 0.0000], [0.0000, 0.6892, 0.0000], [0.0000, 0.8313, 0.5000], [0.5000, 0.1892, 0.0000], [0.5000, 0.3313, 0.5000], [0.5000, 0.6687, 0.5000], [0.5000, 0.8108, 0.0000], [0.0000, 0.4282, 0.5000], [0.0000, 0.5718, 0.5000], [0.5000, 0.0718, 0.5000], [0.5000, 0.9282, 0.5000]],
  "dos_ef_per_ev_atom": 0.44,
  "magnetic_moment_mub_per_cell": 0.00,
  "mass_density_g_cm3": 9.7
}

***

Result of the stability comparison: (a) is the most stable of them.